# 1
A plane-wave DFT calculation with GGA-PBE was carried out for Pm3Er6Tm2Pu after structural relaxation.

Results
**Calculated total energy**: -0.197 hartree per atom
**Energy relative to the elements**: 0.043 eV per atom

Cell: 6.114 6.114 11.639 Å, 95.03 95.03 120.00°
Element x y z (fractional)
Er 0.752 0.752 0.245
Pm 0.500 0.500 0.500
Pm 0.167 0.833 0.500
Pu 0.000 0.000 0.000
Tm 0.333 0.667 0.000
Pm 0.833 0.167 0.500
Tm 0.667 0.333 0.000
Er 0.082 0.411 0.244
Er 0.248 0.248 0.755
Er 0.918 0.589 0.756
Er 0.589 0.918 0.756
Er 0.411 0.082 0.244

# 2
A plane-wave DFT calculation with GGA-PBE was carried out for Pm2Y3Er6Pu after structural relaxation.

Results
**Calculated total energy**: -0.214 hartree per atom
**Energy relative to the elements**: 0.050 eV per atom

Cell: 6.136 6.136 11.677 Å, 95.04 95.04 120.03°
Element x y z (fractional)
Y 0.167 0.833 0.500
Er 0.754 0.754 0.249
Pu 0.000 0.000 0.000
Y 0.500 0.500 0.500
Er 0.246 0.246 0.751
Er 0.917 0.588 0.751
Pm 0.333 0.667 0.000
Er 0.412 0.083 0.249
Er 0.588 0.917 0.751
Er 0.083 0.412 0.249
Y 0.833 0.167 0.500
Pm 0.667 0.333 0.000

# 3
A plane-wave DFT calculation with GGA-PBE was carried out for Pm3Y6Er2Pu after structural relaxation.

Results
**Calculated total energy**: -0.233 hartree per atom
**Energy relative to the elements**: 0.047 eV per atom

Cell: 6.181 6.181 11.777 Å, 95.03 95.03 120.00°
Element x y z (fractional)
Pm 0.833 0.167 0.500
Y 0.589 0.918 0.755
Pm 0.167 0.833 0.500
Y 0.248 0.248 0.755
Pu 0.000 0.000 0.000
Pm 0.500 0.500 0.500
Y 0.752 0.752 0.245
Er 0.667 0.333 0.000
Er 0.333 0.667 0.000
Y 0.082 0.411 0.245
Y 0.918 0.589 0.755
Y 0.411 0.082 0.245

# 4
A plane-wave DFT calculation with GGA-PBE was carried out for Rb4Pm3ErS8 after structural relaxation.

Results
**Energy relative to the elements, uncorrected**: -1.836 eV per atom
**Calculated total energy**: -0.195 hartree per atom

Cell: 8.313 9.081 8.313 Å, 117.25 120.00 90.00°
Element x y z (fractional)
Er 0.000 0.500 0.000
S 0.773 0.306 0.545
Rb 0.500 0.000 0.500
Rb 0.000 0.000 0.000
Pm 0.500 0.500 0.000
Pm 0.500 0.500 0.500
S 0.227 0.694 0.455
S 0.732 0.697 0.465
Pm 0.000 0.500 0.500
S 0.773 0.306 0.034
S 0.261 0.306 0.034
S 0.227 0.694 0.966
S 0.268 0.303 0.535
S 0.739 0.694 0.966
Rb 0.000 0.000 0.500
Rb 0.500 0.000 0.000

# 5
A plane-wave DFT calculation with GGA-PBE was carried out for RbPmEr4S8 after structural relaxation.

Results
**Energy relative to the elements, uncorrected**: -1.891 eV per atom
**Calculated total energy**: -0.219 hartree per atom

Cell: 8.195 8.195 8.328 Å, 60.53 60.53 60.00°
Element x y z (fractional)
S 0.804 0.238 0.720
Pm 0.005 0.005 0.985
S 0.229 0.229 0.312
S 0.231 0.753 0.262
S 0.753 0.231 0.262
Er 0.004 0.487 0.505
S 0.757 0.757 0.730
Er 0.487 0.004 0.505
S 0.238 0.238 0.720
Er 0.004 0.004 0.505
S 0.753 0.753 0.262
Rb 0.370 0.370 0.889
S 0.238 0.804 0.720
Er 0.625 0.625 0.124

# 6
A plane-wave DFT calculation with GGA-PBE was carried out for Rb3PmEr2S6 after structural relaxation.

Results
**Energy relative to the elements, uncorrected**: -1.845 eV per atom
**Calculated total energy**: -0.195 hartree per atom

Cell: 7.092 7.092 8.049 Å, 98.45 98.45 120.00°
Element x y z (fractional)
S 0.936 0.594 0.808
Rb 0.166 0.834 0.500
S 0.594 0.936 0.808
S 0.406 0.064 0.192
Rb 0.834 0.166 0.500
Pm 0.000 0.000 0.000
S 0.064 0.406 0.192
S 0.722 0.722 0.192
Er 0.333 0.667 0.000
Rb 0.500 0.500 0.500
S 0.278 0.278 0.808
Er 0.667 0.333 0.000